[1]
Material: Zr4TaBe
Method: DFT, PBE
State: optimized geometry

abc: 5.654 5.654 5.654
angles: 60.00 60.00 60.00
Fractional positions:
Zr1 0.880 0.373 0.373
Zr2 0.373 0.373 0.880
Zr3 0.373 0.880 0.373
Zr4 0.373 0.373 0.373
Ta1 0.000 0.000 0.000
Be1 0.750 0.750 0.750

The calculation puts the formation energy from the elements at 0.713 eV per atom. The final energy comes out at -45.49 eV for the cell shown.

***

[2]
Material: LaYAlCd
Method: DFT, PBE
State: optimized geometry

abc: 3.672 3.672 7.953
angles: 90.00 90.00 90.00
Fractional positions:
La1 0.500 0.500 0.124
Y1 0.500 0.500 0.595
Al1 0.000 0.000 0.374
Cd1 0.000 0.000 0.835

The calculation puts the formation energy from the elements at -0.375 eV per atom. The value obtained for the energy relative to the lowest polymorph listed for this composition is 0.0000 eV/atom. The final energy comes out at -17.55 eV for the cell shown.

***

[3]
Material: CsBa2HPt
Method: DFT, PBE
State: optimized geometry

abc: 5.475 5.354 5.475
angles: 90.00 90.00 90.00
Fractional positions:
Cs1 0.000 0.500 0.000
H1 0.000 0.000 0.000
Ba1 0.000 0.000 0.500
Ba2 0.500 0.000 0.000
Pt1 0.500 0.500 0.500

The final energy comes out at -14.38 eV for the cell shown.

***

[4]
Material: Li2LaEr2Ga2
Method: DFT, PBE
State: optimized geometry

abc: 4.683 4.683 9.212
angles: 75.27 75.27 60.00
Fractional positions:
Li1 0.589 0.589 0.232
Li2 0.411 0.411 0.768
La1 0.000 0.000 0.000
Er1 0.129 0.129 0.613
Er2 0.871 0.871 0.387
Ga1 0.746 0.746 0.762
Ga2 0.254 0.254 0.238

The calculation puts the formation energy from the elements at -0.293 eV per atom. The final energy comes out at -25.99 eV for the cell shown.

***

[5]
Material: ZrAlSi
Method: DFT, PBE
State: optimized geometry

abc: 4.127 4.127 6.634
angles: 90.00 90.00 90.00
Fractional positions:
Zr1 0.000 0.000 0.000
Zr2 0.500 0.500 0.000
Al1 0.500 0.000 0.333
Al2 0.000 0.500 0.667
Si1 0.500 0.000 0.707
Si2 0.000 0.500 0.293

The calculation puts the uncorrected formation energy at -0.37 eV/atom. The final energy comes out at -37.62 eV for the cell shown.

***

[6]
Material: Sr2BeCrGe
Method: DFT, PBE
State: optimized geometry

abc: 5.956 4.680 5.956
angles: 90.00 90.00 90.00
Last column: magnetic moment on the atom in μB.
Fractional positions:
Sr1 0.000 0.000 0.500  0.05
Sr2 0.500 0.000 0.000  0.05
Ge1 0.000 0.500 0.000  -0.12
Be1 0.500 0.500 0.500  -0.02
Cr1 0.000 0.000 0.000  3.24

The calculation puts the formation energy from the elements at 0.686 eV per atom. The final energy comes out at -17.90 eV for the cell shown.

***

Number 1: V 21.297 A^3/atom. Number 2: V 26.814 A^3/atom. Number 3: V 32.099 A^3/atom. Number 4: V 23.895 A^3/atom. Number 5: V 18.831 A^3/atom. Number 6: V 33.201 A^3/atom.